Entry 1:
The following is a PBE-GGA calculation of crystalline SbP2OsS at its relaxed geometry, from the Alexandria database.

Structure (CIF):
```
data_SbP2OsS
_chemical_formula_sum 'Sb1 P2 Os1 S1'
_cell_length_a 4.9880
_cell_length_b 4.9880
_cell_length_c 5.0164
_cell_angle_alpha 90.00
_cell_angle_beta 90.00
_cell_angle_gamma 90.00
_space_group_name_H-M_alt 'P 1'
_space_group_IT_number 1
loop_
_space_group_symop_operation_xyz
'x,y,z'
loop_
_atom_site_label
_atom_site_type_symbol
_atom_site_fract_x
_atom_site_fract_y
_atom_site_fract_z
_atom_site_occupancy
Sb1 Sb 0.0000 0.0000 0.0000 1
P1 P 0.0000 0.5000 0.0000 1
P2 P 0.5000 0.0000 0.0000 1
Os1 Os 0.0000 0.0000 0.5000 1
S1 S 0.5000 0.5000 0.5000 1
```

Computed properties:
Distance to the lowest polymorph of the same formula in kJ per mole of atoms: 142.0
Size of the total moment in μB per formula unit: 1.085
E_form (uncorrected) in meV/atom: 2025
Density in Mg/m³: 5.4

=====

Entry 2:
The following is a PBE-GGA calculation of crystalline AlRe2Te at its relaxed geometry, from the Alexandria database.

Structure (CIF):
```
data_AlRe2Te
_chemical_formula_sum 'Al1 Re2 Te1'
_cell_length_a 6.1222
_cell_length_b 6.1222
_cell_length_c 6.1222
_cell_angle_alpha 150.62
_cell_angle_beta 140.57
_cell_angle_gamma 49.93
_space_group_name_H-M_alt 'P 1'
_space_group_IT_number 1
loop_
_space_group_symop_operation_xyz
'x,y,z'
loop_
_atom_site_label
_atom_site_type_symbol
_atom_site_fract_x
_atom_site_fract_y
_atom_site_fract_z
_atom_site_occupancy
Al1 Al 0.0000 0.0000 0.0000 1
Re1 Re 0.4603 0.4603 0.0000 1
Re2 Re 0.6595 0.1595 0.5000 1
Te1 Te 0.2546 0.7546 0.5000 1
```

Computed properties:
Distance to the lowest polymorph of the same formula in kJ per mole of atoms: 21.6
Size of the total moment in μB per formula unit: 0.000
E_form (uncorrected) in meV/atom: 462
Density in Mg/m³: 12.3

=====

Entry 3:
The following is a PBE-GGA calculation of crystalline HoSiNi at its relaxed geometry, from the Alexandria database.

Structure (CIF):
```
data_HoSiNi
_chemical_formula_sum 'Ho4 Si4 Ni4'
_cell_length_a 6.5495
_cell_length_b 6.5495
_cell_length_c 5.6546
_cell_angle_alpha 90.00
_cell_angle_beta 90.00
_cell_angle_gamma 90.00
_space_group_name_H-M_alt 'P 1'
_space_group_IT_number 1
loop_
_space_group_symop_operation_xyz
'x,y,z'
loop_
_atom_site_label
_atom_site_type_symbol
_atom_site_fract_x
_atom_site_fract_y
_atom_site_fract_z
_atom_site_occupancy
Ho1 Ho 0.2225 0.2225 0.0000 1
Ho2 Ho 0.2775 0.7225 0.2500 1
Ho3 Ho 0.7225 0.2775 0.7500 1
Ho4 Ho 0.7775 0.7775 0.5000 1
Si1 Si 0.0965 0.0965 0.5000 1
Si2 Si 0.4035 0.5965 0.7500 1
Si3 Si 0.5965 0.4035 0.2500 1
Si4 Si 0.9035 0.9035 0.0000 1
Ni1 Ni 0.1639 0.8361 0.7500 1
Ni2 Ni 0.3361 0.3361 0.5000 1
Ni3 Ni 0.6639 0.6639 0.0000 1
Ni4 Ni 0.8361 0.1639 0.2500 1
```

Computed properties:
Size of the total moment in μB per formula unit: 0.000
E_form (uncorrected) in meV/atom: -402
Density in Mg/m³: 6.9

=====

Entry 4:
The following is a PBE-GGA calculation of crystalline GaAgPtPb at its relaxed geometry, from the Alexandria database.

Structure (CIF):
```
data_GaAgPtPb
_chemical_formula_sum 'Ga1 Ag1 Pt1 Pb1'
_cell_length_a 3.8069
_cell_length_b 3.8069
_cell_length_c 7.3504
_cell_angle_alpha 105.08
_cell_angle_beta 105.08
_cell_angle_gamma 59.84
_space_group_name_H-M_alt 'P 1'
_space_group_IT_number 1
loop_
_space_group_symop_operation_xyz
'x,y,z'
loop_
_atom_site_label
_atom_site_type_symbol
_atom_site_fract_x
_atom_site_fract_y
_atom_site_fract_z
_atom_site_occupancy
Ga1 Ga 0.0000 0.0000 0.0000 1
Ag1 Ag 0.2518 0.2518 0.7570 1
Pt1 Pt 0.3878 0.3878 0.1654 1
Pb1 Pb 0.8153 0.8153 0.4438 1
```

Computed properties:
Distance to the lowest polymorph of the same formula in kJ per mole of atoms: 3.3
DFT formation energy in meV/atom: -150
Size of the total moment in μB per formula unit: 0.000
Density in Mg/m³: 11.0

=====

Entry 5:
The following is a PBE-GGA calculation of crystalline Dy5ZnAu4 at its relaxed geometry, from the Alexandria database.

Structure (CIF):
```
data_Dy5ZnAu4
_chemical_formula_sum 'Dy5 Zn1 Au4'
_cell_length_a 3.5840
_cell_length_b 3.5840
_cell_length_c 18.0241
_cell_angle_alpha 90.00
_cell_angle_beta 90.00
_cell_angle_gamma 90.00
_space_group_name_H-M_alt 'P 1'
_space_group_IT_number 1
loop_
_space_group_symop_operation_xyz
'x,y,z'
loop_
_atom_site_label
_atom_site_type_symbol
_atom_site_fract_x
_atom_site_fract_y
_atom_site_fract_z
_atom_site_occupancy
Dy1 Dy 0.0000 0.0000 0.0000 1
Dy2 Dy 0.0000 0.0000 0.2018 1
Dy3 Dy 0.0000 0.0000 0.4018 1
Dy4 Dy 0.0000 0.0000 0.5982 1
Dy5 Dy 0.0000 0.0000 0.7982 1
Zn1 Zn 0.5000 0.5000 0.5000 1
Au1 Au 0.5000 0.5000 0.1003 1
Au2 Au 0.5000 0.5000 0.3039 1
Au3 Au 0.5000 0.5000 0.6961 1
Au4 Au 0.5000 0.5000 0.8997 1
```

Computed properties:
DFT formation energy in meV/atom: -764
Size of the total moment in μB per formula unit: 0.000
Density in Mg/m³: 11.9

=====

Entry 6:
The following is a PBE-GGA calculation of crystalline MgMn3Ni at its relaxed geometry, from the Alexandria database.

Structure (CIF):
```
data_MgMn3Ni
_chemical_formula_sum 'Mg1 Mn3 Ni1'
_cell_length_a 4.5562
_cell_length_b 4.5562
_cell_length_c 4.5562
_cell_angle_alpha 90.00
_cell_angle_beta 90.00
_cell_angle_gamma 90.00
_space_group_name_H-M_alt 'P 1'
_space_group_IT_number 1
loop_
_space_group_symop_operation_xyz
'x,y,z'
loop_
_atom_site_label
_atom_site_type_symbol
_atom_site_fract_x
_atom_site_fract_y
_atom_site_fract_z
_atom_site_occupancy
Mg1 Mg 0.0000 0.0000 0.0000 1
Mn1 Mn 0.0000 0.5000 0.5000 1
Mn2 Mn 0.5000 0.0000 0.5000 1
Mn3 Mn 0.5000 0.5000 0.0000 1
Ni1 Ni 0.5000 0.5000 0.5000 1
```

Computed properties:
Distance to the lowest polymorph of the same formula in kJ per mole of atoms: 0.0
DFT formation energy in meV/atom: 657
Size of the total moment in μB per formula unit: 12.542
Density in Mg/m³: 4.4

=====

Entry 7:
The following is a PBE-GGA calculation of crystalline Nb3VMo at its relaxed geometry, from the Alexandria database.

Structure (CIF):
```
data_Nb3VMo
_chemical_formula_sum 'Nb3 V1 Mo1'
_cell_length_a 4.6001
_cell_length_b 4.6001
_cell_length_c 4.6001
_cell_angle_alpha 90.00
_cell_angle_beta 90.00
_cell_angle_gamma 90.00
_space_group_name_H-M_alt 'P 1'
_space_group_IT_number 1
loop_
_space_group_symop_operation_xyz
'x,y,z'
loop_
_atom_site_label
_atom_site_type_symbol
_atom_site_fract_x
_atom_site_fract_y
_atom_site_fract_z
_atom_site_occupancy
Nb1 Nb 0.0000 0.0000 0.5000 1
Nb2 Nb 0.0000 0.5000 0.0000 1
Nb3 Nb 0.5000 0.0000 0.0000 1
V1 V 0.0000 0.0000 0.0000 1
Mo1 Mo 0.5000 0.5000 0.5000 1
```

Computed properties:
Distance to the lowest polymorph of the same formula in kJ per mole of atoms: 116.6
DFT formation energy in meV/atom: 1172
Size of the total moment in μB per formula unit: 0.000
Density in Mg/m³: 7.3

=====

Entry 8:
The following is a PBE-GGA calculation of crystalline VNi2SbH at its relaxed geometry, from the Alexandria database.

Structure (CIF):
```
data_VNi2SbH
_chemical_formula_sum 'V1 Ni2 Sb1 H1'
_cell_length_a 3.8149
_cell_length_b 3.8149
_cell_length_c 3.9513
_cell_angle_alpha 90.00
_cell_angle_beta 90.00
_cell_angle_gamma 90.00
_space_group_name_H-M_alt 'P 1'
_space_group_IT_number 1
loop_
_space_group_symop_operation_xyz
'x,y,z'
loop_
_atom_site_label
_atom_site_type_symbol
_atom_site_fract_x
_atom_site_fract_y
_atom_site_fract_z
_atom_site_occupancy
V1 V 0.0000 0.0000 0.0000 1
Ni1 Ni 0.0000 0.5000 0.5000 1
Ni2 Ni 0.5000 0.0000 0.5000 1
Sb1 Sb 0.5000 0.5000 0.0000 1
H1 H 0.0000 0.0000 0.5000 1
```

Computed properties:
Size of the total moment in μB per formula unit: 1.137
Uncorrected energy in Ry per atom: -0.4218
Density in Mg/m³: 8.4

=====

Entry 9:
The following is a PBE-GGA calculation of crystalline AlTcNi2 at its relaxed geometry, from the Alexandria database.

Structure (CIF):
```
data_AlTcNi2
_chemical_formula_sum 'Al1 Tc1 Ni2'
_cell_length_a 4.1434
_cell_length_b 4.1434
_cell_length_c 4.1434
_cell_angle_alpha 60.00
_cell_angle_beta 60.00
_cell_angle_gamma 60.00
_space_group_name_H-M_alt 'P 1'
_space_group_IT_number 1
loop_
_space_group_symop_operation_xyz
'x,y,z'
loop_
_atom_site_label
_atom_site_type_symbol
_atom_site_fract_x
_atom_site_fract_y
_atom_site_fract_z
_atom_site_occupancy
Al1 Al 0.0000 0.0000 0.0000 1
Tc1 Tc 0.2500 0.2500 0.2500 1
Ni1 Ni 0.5000 0.5000 0.5000 1
Ni2 Ni 0.7500 0.7500 0.7500 1
```

Computed properties:
DFT formation energy in meV/atom: -164
Size of the total moment in μB per formula unit: 1.603
Density in Mg/m³: 8.0

=====

Entry 10:
The following is a PBE-GGA calculation of crystalline Pm3PaSb4 at its relaxed geometry, from the Alexandria database.

Structure (CIF):
```
data_Pm3PaSb4
_chemical_formula_sum 'Pm3 Pa1 Sb4'
_cell_length_a 7.7158
_cell_length_b 7.7158
_cell_length_c 7.7158
_cell_angle_alpha 131.83
_cell_angle_beta 131.83
_cell_angle_gamma 70.50
_space_group_name_H-M_alt 'P 1'
_space_group_IT_number 1
loop_
_space_group_symop_operation_xyz
'x,y,z'
loop_
_atom_site_label
_atom_site_type_symbol
_atom_site_fract_x
_atom_site_fract_y
_atom_site_fract_z
_atom_site_occupancy
Pm1 Pm 0.0000 0.0000 0.0000 1
Pm2 Pm 0.2500 0.7500 0.5000 1
Pm3 Pm 0.7500 0.2500 0.5000 1
Pa1 Pa 0.5000 0.5000 0.0000 1
Sb1 Sb 0.0000 0.5000 0.5000 1
Sb2 Sb 0.2559 0.2559 0.0000 1
Sb3 Sb 0.5000 0.0000 0.5000 1
Sb4 Sb 0.7441 0.7441 0.0000 1
```

Computed properties:
Size of the total moment in μB per formula unit: 0.567
E_form (uncorrected) in meV/atom: -1003
Density in Mg/m³: 7.7

=====

Q: Look up the size of the total moment of the fourth one.
A: 0.000 μB per formula unit

=====

Q: Which of these has the highest density?
A: AlRe2Te

=====

Q: density of number 1 (SbP2OsS)?
A: 5.4 Mg/m³